ThZrAg PBE relaxed; M_tot = 0.0 μB/cell; N(E_F) = 5.0 states/eV/cell; total DFT energy (no corrections) = -6.26 eV/atom; symmetry = P4/nmm (129)
1.0
3.808 0.000 0.000
0.000 3.808 0.000
0.000 0.000 10.495
Th Zr Ag
2 2 2
direct
0.250 0.250 0.241
0.750 0.750 0.759
0.250 0.250 0.569
0.750 0.750 0.431
0.250 0.250 0.933
0.750 0.750 0.067